Material: Te2Ru
Method: DFT, SCAN
State: PBEsol geometry

Cell lengths 5.263, 6.381, 4.015 Å; angles 90.00, 90.00, 90.00 degrees
Fractional positions:
Te 0.222 0.134 0.000
Te 0.278 0.634 0.500
Te 0.722 0.366 0.500
Te 0.778 0.866 0.000
Ru 0.000 0.500 0.000
Ru 0.500 0.000 0.500

- E_tot (eV/cell) = -221.3
- E_form (uncorrected) (eV per atom) = -0.4413